Entry 1:
Entry from Alexandria: a geometry-optimized AcAgSbPd structure (PBE).

It has space group F-43m (No. 216), with a = 7.307 Å, b = 7.307 Å, c = 7.307 Å, α = 90.00°, β = 90.00° and γ = 90.00°. The inequivalent atoms are Ac at (0.000, 0.000, 0.000), Ag at (0.250, 0.250, 0.250), Sb at (0.000, 0.000, 0.500) and Pd at (0.250, 0.250, 0.750).

The value obtained for the formation energy from raw total energies is -0.537 eV/atom.

Entry 2:
Entry from Alexandria: a geometry-optimized AcAgSb2Pd structure (PBE).

It has space group I-4m2 (No. 119), with a = 4.593 Å, b = 4.593 Å, c = 12.106 Å, α = 90.00°, β = 90.00° and γ = 90.00°. The inequivalent atoms are Ac at (0.000, 0.000, 0.000), Ag at (0.000, 0.500, 0.250), Sb at (0.000, 0.000, 0.376) and Pd at (0.000, 0.500, 0.750).

The value obtained for the formation energy from raw total energies is -0.616 eV/atom.

Entry 3:
Entry from Alexandria: a geometry-optimized Ac2AgSb4Pd3 structure (PBE).

It has space group P-4m2 (No. 115), with a = 4.757 Å, b = 4.757 Å, c = 10.875 Å, α = 90.00°, β = 90.00° and γ = 90.00°. The inequivalent atoms are Ac at (0.000, 0.500, 0.246), Ag at (0.500, 0.500, 0.000), Sb at (0.000, 0.000, 0.500), Sb at (0.000, 0.500, 0.866), Sb at (0.500, 0.500, 0.500), Pd at (0.000, 0.000, 0.000) and Pd at (0.000, 0.500, 0.622).

The value obtained for the formation energy from raw total energies is -0.799 eV/atom.

Entry 4:
Entry from Alexandria: a geometry-optimized Ac2AgSbPd6 structure (PBE).

It has space group C2/m (No. 12), with a = 12.454 Å, b = 5.595 Å, c = 8.780 Å, α = 90.00°, β = 132.99° and γ = 90.00°. The inequivalent atoms are Ac at (0.024, 0.000, 0.286), Ag at (0.000, 0.500, 0.500), Sb at (0.000, 0.500, 0.000), Pd at (0.174, 0.500, 0.921) and Pd at (0.243, 0.245, 0.259).

The value obtained for the formation energy from raw total energies is -0.614 eV/atom.

Entry 5:
Entry from Alexandria: a geometry-optimized Ac3AgSb2Pd9 structure (PBE).

It has space group P-3m1 (No. 164), with a = 6.6109 Å, b = 6.6109 Å, c = 10.2989 Å, α = 90.00°, β = 90.00° and γ = 120.00°. The inequivalent atoms are Ac at (0.0000, 0.0000, 0.0000), Ac at (0.3333, 0.6667, 0.7334), Ag at (0.0000, 0.0000, 0.5000), Sb at (0.3333, 0.6667, 0.1761), Pd at (0.0000, 0.5000, 0.0000) and Pd at (0.1348, 0.2695, 0.2800).

The value obtained for the formation energy from raw total energies is -0.522 eV/atom.

Entry 6:
Entry from Alexandria: a geometry-optimized AcSiAgPd6 structure (PBE).

It has space group Imma (No. 74), with a = 5.757 Å, b = 9.600 Å, c = 12.740 Å, α = 90.00°, β = 90.00° and γ = 90.00°. The inequivalent atoms are Ac at (0.000, 0.250, 0.162), Si at (0.000, 0.000, 0.500), Ag at (0.250, 0.250, 0.750), Pd at (0.000, 0.250, 0.442), Pd at (0.000, 0.250, 0.938) and Pd at (0.246, 0.011, 0.862).

The value obtained for the formation energy from raw total energies is -0.284 eV/atom.

Entry 7:
Entry from Alexandria: a geometry-optimized AcSi2AgPd5 structure (PBE).

It has space group P4/mmm (No. 123), with a = 4.790 Å, b = 4.790 Å, c = 7.192 Å, α = 90.00°, β = 90.00° and γ = 90.00°. The inequivalent atoms are Ac at (0.000, 0.000, 0.000), Si at (0.500, 0.500, 0.341), Ag at (0.000, 0.000, 0.500), Pd at (0.000, 0.500, 0.281) and Pd at (0.500, 0.500, 0.000).

The value obtained for the formation energy from raw total energies is -0.515 eV/atom.

Entry 8:
Entry from Alexandria: a geometry-optimized Ac3SiAg2Pd9 structure (PBE).

It has space group P-3m1 (No. 164), with a = 5.8626 Å, b = 5.8626 Å, c = 11.5543 Å, α = 90.00°, β = 90.00° and γ = 120.00°. The inequivalent atoms are Ac at (0.0000, 0.0000, 0.0000), Ac at (0.3333, 0.6667, 0.7270), Si at (0.0000, 0.0000, 0.5000), Ag at (0.3333, 0.6667, 0.1832), Pd at (0.0000, 0.5000, 0.0000) and Pd at (0.1766, 0.3531, 0.3768).

The value obtained for the formation energy from raw total energies is -0.532 eV/atom.

Entry 9:
Entry from Alexandria: a geometry-optimized Ac3AgSn2Pd9 structure (PBE).

It has space group P-3m1 (No. 164), with a = 5.8592 Å, b = 5.8592 Å, c = 12.3935 Å, α = 90.00°, β = 90.00° and γ = 120.00°. The inequivalent atoms are Ac at (0.0000, 0.0000, 0.0000), Ac at (0.3333, 0.6667, 0.5985), Ag at (0.0000, 0.0000, 0.5000), Sn at (0.3333, 0.6667, 0.1675), Pd at (0.0000, 0.5000, 0.0000) and Pd at (0.1621, 0.3241, 0.3258).

Its uncorrected energy is -5.18 eV per atom.

Entry 10:
Entry from Alexandria: a geometry-optimized AcAgSn2Pd4 structure (PBE).

It has space group R-3m (No. 166, hexagonal axes), with a = 4.5566 Å, b = 4.5566 Å, c = 27.8000 Å, α = 90.00°, β = 90.00° and γ = 120.00°. The inequivalent atoms are Ac at (0.0000, 0.0000, 0.0000), Ag at (0.0000, 0.0000, 0.5000), Sn at (0.0000, 0.0000, 0.2352), Pd at (0.0000, 0.0000, 0.1305) and Pd at (0.0000, 0.0000, 0.4006).

Its uncorrected energy is -5.03 eV per atom.

Entry 11:
Entry from Alexandria: a geometry-optimized Ac2Ag3Sn4Pd structure (PBE).

It has space group P-4m2 (No. 115), with a = 4.731 Å, b = 4.731 Å, c = 11.445 Å, α = 90.00°, β = 90.00° and γ = 90.00°. The inequivalent atoms are Ac at (0.000, 0.500, 0.236), Ag at (0.000, 0.000, 0.000), Ag at (0.000, 0.500, 0.640), Sn at (0.000, 0.000, 0.500), Sn at (0.000, 0.500, 0.878), Sn at (0.500, 0.500, 0.500) and Pd at (0.500, 0.500, 0.000).

Its uncorrected energy is -4.31 eV per atom.

Entry 12:
Entry from Alexandria: a geometry-optimized Ac2AgSn3Pd4 structure (PBE).

It has space group P-4m2 (No. 115), with a = 4.646 Å, b = 4.646 Å, c = 10.965 Å, α = 90.00°, β = 90.00° and γ = 90.00°. The inequivalent atoms are Ac at (0.000, 0.500, 0.247), Ag at (0.500, 0.500, 0.000), Sn at (0.000, 0.000, 0.000), Sn at (0.000, 0.500, 0.623), Pd at (0.000, 0.000, 0.500), Pd at (0.000, 0.500, 0.864) and Pd at (0.500, 0.500, 0.500).

Its uncorrected energy is -5.12 eV per atom.

Entry 13:
Entry from Alexandria: a geometry-optimized Ac2AgSn4Pd3 structure (PBE).

It has space group P-4m2 (No. 115), with a = 4.711 Å, b = 4.711 Å, c = 11.008 Å, α = 90.00°, β = 90.00° and γ = 90.00°. The inequivalent atoms are Ac at (0.000, 0.500, 0.245), Ag at (0.500, 0.500, 0.000), Sn at (0.000, 0.000, 0.500), Sn at (0.000, 0.500, 0.868), Sn at (0.500, 0.500, 0.500), Pd at (0.000, 0.000, 0.000) and Pd at (0.000, 0.500, 0.626).

Its uncorrected energy is -4.99 eV per atom.

Entry 14:
Entry from Alexandria: a geometry-optimized Ac2AgSn6Pd structure (PBE).

It has space group R-3m (No. 166, hexagonal axes), with a = 7.0515 Å, b = 7.0515 Å, c = 39.9523 Å, α = 90.00°, β = 90.00° and γ = 120.00°. The inequivalent atoms are Ac at (0.0000, 0.0000, 0.1111), Ac at (0.0000, 0.0000, 0.2935), Ag at (0.0000, 0.0000, 0.4288), Sn at (0.0334, 0.5167, 0.2933), Sn at (0.0578, 0.5289, 0.8682), Pd at (0.0000, 0.0000, 0.0000) and Pd at (0.0000, 0.0000, 0.5000).

Its uncorrected energy is -4.37 eV per atom.

Entry 15:
Entry from Alexandria: a geometry-optimized AcAgSnPd2 structure (PBE).

It has space group Cmme (No. 67), with a = 6.001 Å, b = 13.705 Å, c = 5.783 Å, α = 90.00°, β = 90.00° and γ = 90.00°. The inequivalent atoms are Ac at (0.000, 0.250, 0.225), Ag at (0.000, 0.000, 0.000), Sn at (0.250, 0.000, 0.500) and Pd at (0.000, 0.151, 0.695).

Its uncorrected energy is -4.74 eV per atom.

Entry 16:
Entry from Alexandria: a geometry-optimized Ac3AgSn6Pd2 structure (PBE).

It has space group P-3m1 (No. 164), with a = 6.5531 Å, b = 6.5531 Å, c = 9.6299 Å, α = 90.00°, β = 90.00° and γ = 120.00°. The inequivalent atoms are Ac at (0.0000, 0.0000, 0.0000), Ac at (0.3333, 0.6667, 0.6014), Ag at (0.0000, 0.0000, 0.5000), Sn at (0.1779, 0.3558, 0.2772) and Pd at (0.3333, 0.6667, 0.0545).

Its uncorrected energy is -4.46 eV per atom.

Entry 17:
Entry from Alexandria: a geometry-optimized Ac3AgSn2Pd6 structure (PBE).

It has space group P-3m1 (No. 164), with a = 6.0009 Å, b = 6.0009 Å, c = 9.1572 Å, α = 90.00°, β = 90.00° and γ = 120.00°. The inequivalent atoms are Ac at (0.0000, 0.0000, 0.0000), Ac at (0.3333, 0.6667, 0.6289), Ag at (0.0000, 0.0000, 0.5000), Sn at (0.3333, 0.6667, 0.0337) and Pd at (0.1741, 0.3482, 0.2785).

Its uncorrected energy is -5.17 eV per atom.

Entry 18:
Entry from Alexandria: a geometry-optimized Ac2AgSn3Pd6 structure (PBE).

It has space group P4/mmm (No. 123), with a = 4.288 Å, b = 4.288 Å, c = 16.803 Å, α = 90.00°, β = 90.00° and γ = 90.00°. The inequivalent atoms are Ac at (0.000, 0.000, 0.197), Ag at (0.000, 0.000, 0.500), Sn at (0.500, 0.500, 0.000), Sn at (0.500, 0.500, 0.311), Pd at (0.000, 0.500, 0.399) and Pd at (0.500, 0.500, 0.153).

Its uncorrected energy is -4.89 eV per atom.

Entry 19:
Entry from Alexandria: a geometry-optimized AcAg2SnPd4 structure (PBE).

It has space group R-3m (No. 166, hexagonal axes), with a = 4.7111 Å, b = 4.7111 Å, c = 24.5677 Å, α = 90.00°, β = 90.00° and γ = 120.00°. The inequivalent atoms are Ac at (0.0000, 0.0000, 0.0000), Ag at (0.0000, 0.0000, 0.2473), Sn at (0.0000, 0.0000, 0.5000), Pd at (0.0000, 0.0000, 0.1303) and Pd at (0.0000, 0.0000, 0.3929).

Its uncorrected energy is -4.75 eV per atom.

Entry 20:
Entry from Alexandria: a geometry-optimized AcAgSn4Pd2 structure (PBE).

It has space group R-3m (No. 166, hexagonal axes), with a = 4.7171 Å, b = 4.7171 Å, c = 30.3169 Å, α = 90.00°, β = 90.00° and γ = 120.00°. The inequivalent atoms are Ac at (0.0000, 0.0000, 0.0000), Ag at (0.0000, 0.0000, 0.5000), Sn at (0.0000, 0.0000, 0.1255), Sn at (0.0000, 0.0000, 0.4003) and Pd at (0.0000, 0.0000, 0.2512).

Its uncorrected energy is -4.57 eV per atom.

Entry 21:
Entry from Alexandria: a geometry-optimized SrAcAgPd structure (PBE).

It has space group Amm2 (No. 38), with a = 4.625 Å, b = 4.285 Å, c = 12.106 Å, α = 90.00°, β = 90.00° and γ = 90.00°. The inequivalent atoms are Sr at (0.000, 0.000, 0.000), Ac at (0.500, 0.000, 0.725), Ag at (0.500, 0.000, 0.434) and Pd at (0.000, 0.000, 0.275).

The calculation puts the excess energy over the best structure of this formula in the dataset at 0.0 meV/atom.

Entry 22:
Entry from Alexandria: a geometry-optimized SrAcAgPd structure (PBE).

It has space group F-43m (No. 216), with a = 7.701 Å, b = 7.701 Å, c = 7.701 Å, α = 90.00°, β = 90.00° and γ = 90.00°. The inequivalent atoms are Sr at (0.000, 0.000, 0.000), Ac at (0.000, 0.000, 0.500), Ag at (0.250, 0.250, 0.750) and Pd at (0.250, 0.250, 0.250).

The calculation puts the excess energy over the best structure of this formula in the dataset at 81.1 meV/atom.